No. 1
The following is a DFT calculation (meta-GGA SCAN) of a crystal of ZnPbN2 relaxed with PBEsol.

Output
- Crystal system: trigonal
- Volume: 187 Å³/cell
- Total energy: -26.309 eV/atom
- ΔE to the lowest computed polymorph: 0.0000 eV per atom
- Raw formation energy: 2.642 eV/f.u.

a = 3.4880 Å, b = 3.4880 Å, c = 17.7016 Å
α = 90.00°, β = 90.00°, γ = 120.00°
Closest atoms and distances in Å follow each position.
Space group R-3m (No. 166, hexagonal axes)
Unique sites:
Zn 0.0000 0.0000 0.0000 [3 per cell]  2 N 1.81
Pb 0.0000 0.0000 0.5000 [3 per cell]  6 N 2.31
N 0.0000 0.0000 0.1025 [6 per cell]  1 Zn 1.81

=====

No. 2
The following is a DFT calculation (meta-GGA SCAN) of a crystal of Mg2PbW relaxed with PBEsol.

Output
- Crystal system: orthorhombic
- Volume: 156 Å³/cell
- Total energy: -38.278 eV/atom
- ΔH_f (0 K): 0.58 eV per atom

a = 3.3700 Å, b = 4.6214 Å, c = 9.9865 Å
α = 90.00°, β = 90.00°, γ = 90.00°
Closest atoms and distances in Å follow each position.
Space group Immm (No. 71)
Unique sites:
Mg 0.0000 0.0000 0.2371 [4 per cell]  4 Mg 2.87, 2 W 2.91, 2 Pb 3.12
Pb 0.0000 0.5000 0.0000 [2 per cell]  4 W 2.86, 4 Mg 3.12
W 0.0000 0.5000 0.5000 [2 per cell]  4 Pb 2.86, 4 Mg 2.91

=====

No. 3
The following is a DFT calculation (meta-GGA SCAN) of a crystal of RuAuCl2 relaxed with PBEsol.

Output
- Crystal system: tetragonal
- Volume: 72 Å³/cell
- Total energy: -29.736 eV/atom
- ΔE to the lowest computed polymorph: 0.2511 eV per atom
- Raw formation energy: 0.995 eV/f.u.

a = 3.0321 Å, b = 3.0321 Å, c = 7.8288 Å
α = 90.00°, β = 90.00°, γ = 90.00°
Closest atoms and distances in Å follow each position.
Space group P4mm (No. 99)
Unique sites:
Ru 0.0000 0.0000 0.0000 [1 per cell]  4 Cl 2.60, 4 Au 2.77
Au 0.5000 0.5000 0.2242 [1 per cell]  4 Cl 2.75, 4 Ru 2.77, 4 Au 3.03
Cl 0.0000 0.0000 0.4445 [1 per cell]  4 Au 2.75, 4 Cl 3.03
Cl 0.5000 0.5000 0.8119 [1 per cell]  4 Ru 2.60